VASP calculation (PBE) on SrIn2Ag after structural relaxation.

Lattice parameters (Å, degrees): 4.6692 4.6692 4.9487 90.00 90.00 90.00
Atoms (fractional coordinates):
1 Sr 0.0000 0.0000 0.0000
2 In 0.0000 0.5000 0.5000
3 In 0.5000 0.0000 0.5000
4 Ag 0.5000 0.5000 0.0000

Computed properties:
Magnetization = 0.0 μB per cell
Formation energy = -199 meV/atom

---

VASP calculation (PBE) on Sr2InAg2 after structural relaxation.

Lattice parameters (Å, degrees): 6.7102 6.7102 11.6983 116.06 116.06 40.49
Atoms (fractional coordinates):
1 Sr 0.0019 0.0019 0.1713
2 Sr 0.1876 0.1876 0.6120
3 Sr 0.8124 0.8124 0.3880
4 Sr 0.9981 0.9981 0.8287
5 In 0.2790 0.2790 0.1342
6 In 0.7210 0.7210 0.8658
7 Ag 0.3694 0.3694 0.9399
8 Ag 0.4851 0.4851 0.6148
9 Ag 0.5149 0.5149 0.3852
10 Ag 0.6306 0.6306 0.0601

Computed properties:
Magnetization = 0.0 μB per cell
Formation energy = -329 meV/atom

---

VASP calculation (PBE) on SrIn2Ag6 after structural relaxation.

Lattice parameters (Å, degrees): 8.2040 8.2040 8.2040 152.03 124.66 63.13
Atoms (fractional coordinates):
1 Sr 0.0000 0.0000 0.0000
2 In 0.3639 0.8639 0.5000
3 In 0.6361 0.1361 0.5000
4 Ag 0.0048 0.3169 0.6880
5 Ag 0.3237 0.5000 0.8237
6 Ag 0.3711 0.6831 0.6880
7 Ag 0.6289 0.3169 0.3120
8 Ag 0.6763 0.5000 0.1763
9 Ag 0.9952 0.6831 0.3120

Computed properties:
Magnetization = 0.0 μB per cell
Formation energy = -34 meV/atom
Energy relative to the lowest polymorph listed for this composition = 75 meV/atom

---

VASP calculation (PBE) on SrInAg2 after structural relaxation.

Lattice parameters (Å, degrees): 5.9383 5.9383 5.9383 48.21 48.21 48.21
Atoms (fractional coordinates):
1 Sr 0.0000 0.0000 0.0000
2 In 0.5000 0.5000 0.5000
3 Ag 0.2065 0.2065 0.2065
4 Ag 0.7935 0.7935 0.7935

Computed properties:
Magnetization = 0.0 μB per cell
Formation energy = -265 meV/atom

---

VASP calculation (PBE) on Sr3In2Ag after structural relaxation.

Lattice parameters (Å, degrees): 8.9706 8.9706 4.0599 90.00 90.00 143.27
Atoms (fractional coordinates):
1 Sr 0.0000 0.0000 0.0000
2 Sr 0.3416 0.6584 0.0000
3 Sr 0.6584 0.3416 0.0000
4 In 0.1764 0.8236 0.5000
5 In 0.8236 0.1764 0.5000
6 Ag 0.5000 0.5000 0.5000

Computed properties:
Magnetization = 0.0 μB per cell
Formation energy = -376 meV/atom

---

VASP calculation (PBE) on Sr2InAg6 after structural relaxation.

Lattice parameters (Å, degrees): 6.3440 6.3440 6.1875 90.00 90.00 120.00
Atoms (fractional coordinates):
1 Sr 0.3333 0.6667 0.3444
2 Sr 0.6667 0.3333 0.6556
3 In 0.0000 0.0000 0.5000
4 Ag 0.1818 0.3637 0.8346
5 Ag 0.1818 0.8182 0.8346
6 Ag 0.3637 0.1818 0.1654
7 Ag 0.6363 0.8182 0.8346
8 Ag 0.8182 0.1818 0.1654
9 Ag 0.8182 0.6363 0.1654

Computed properties:
Magnetization = 0.0 μB per cell
Formation energy = -226 meV/atom

---

VASP calculation (PBE) on Sr5InAg2 after structural relaxation.

Lattice parameters (Å, degrees): 10.0220 10.0220 10.0220 128.97 128.97 75.07
Atoms (fractional coordinates):
1 Sr 0.0000 0.0000 0.0000
2 Sr 0.0270 0.5270 0.8404
3 Sr 0.1865 0.0270 0.5000
4 Sr 0.3135 0.8135 0.8404
5 Sr 0.4730 0.3135 0.5000
6 Sr 0.5000 0.5000 0.0000
7 Sr 0.5270 0.6865 0.5000
8 Sr 0.6865 0.1865 0.1596
9 Sr 0.8135 0.9730 0.5000
10 Sr 0.9730 0.4730 0.1596
11 In 0.2500 0.2500 0.0000
12 In 0.7500 0.7500 0.0000
13 Ag 0.1204 0.3796 0.5000
14 Ag 0.3796 0.8796 0.2593
15 Ag 0.6204 0.1204 0.7407
16 Ag 0.8796 0.6204 0.5000

Computed properties:
Magnetization = 0.0 μB per cell
Formation energy = -308 meV/atom

---

VASP calculation (PBE) on SrIn2Ag after structural relaxation.

Lattice parameters (Å, degrees): 6.1563 6.1563 6.1563 143.38 125.88 67.13
Atoms (fractional coordinates):
1 Sr 0.0000 0.0000 0.0000
2 In 0.2827 0.7827 0.5000
3 In 0.7173 0.2173 0.5000
4 Ag 0.5000 0.5000 0.0000

Computed properties:
Magnetization = 0.0 μB per cell
Formation energy = -208 meV/atom

---

VASP calculation (PBE) on SrIn3Ag2 after structural relaxation.

Lattice parameters (Å, degrees): 7.2672 7.2672 5.8764 90.00 90.00 82.73
Atoms (fractional coordinates):
1 Sr 0.1674 0.8326 0.7500
2 Sr 0.8326 0.1674 0.2500
3 In 0.0542 0.5934 0.2500
4 In 0.4066 0.9458 0.2500
5 In 0.4616 0.5384 0.2500
6 In 0.5384 0.4616 0.7500
7 In 0.5934 0.0542 0.7500
8 In 0.9458 0.4066 0.7500
9 Ag 0.2628 0.2628 0.0000
10 Ag 0.2628 0.2628 0.5000
11 Ag 0.7372 0.7372 0.0000
12 Ag 0.7372 0.7372 0.5000

Computed properties:
Magnetization = 0.0 μB per cell
Formation energy = -212 meV/atom
Energy relative to the lowest polymorph listed for this composition = 35 meV/atom

---

VASP calculation (PBE) on SrInAg2 after structural relaxation.

Lattice parameters (Å, degrees): 3.7256 3.7256 7.2804 90.00 90.00 90.00
Atoms (fractional coordinates):
1 Sr 0.0000 0.0000 0.0000
2 In 0.5000 0.5000 0.6785
3 Ag 0.0000 0.0000 0.4768
4 Ag 0.5000 0.5000 0.2828

Computed properties:
Magnetization = 0.0 μB per cell
Formation energy = -147 meV/atom

---

VASP calculation (PBE) on Sr2In8Ag after structural relaxation.

Lattice parameters (Å, degrees): 4.9536 4.9536 12.3936 90.00 90.00 90.00
Atoms (fractional coordinates):
1 Sr 0.0000 0.0000 0.1892
2 Sr 0.0000 0.0000 0.8108
3 In 0.0000 0.5000 0.0000
4 In 0.0000 0.5000 0.3735
5 In 0.0000 0.5000 0.6265
6 In 0.5000 0.0000 0.0000
7 In 0.5000 0.0000 0.3735
8 In 0.5000 0.0000 0.6265
9 In 0.5000 0.5000 0.2007
10 In 0.5000 0.5000 0.7993
11 Ag 0.0000 0.0000 0.5000

Computed properties:
Magnetization = 0.0 μB per cell
Formation energy = -232 meV/atom

---

VASP calculation (PBE) on Sr3In3Ag2 after structural relaxation.

Lattice parameters (Å, degrees): 6.2693 6.2693 16.7420 90.00 90.00 132.84
Atoms (fractional coordinates):
1 Sr 0.0881 0.9119 0.6083
2 Sr 0.0881 0.9119 0.8917
3 Sr 0.3725 0.6275 0.7500
4 Sr 0.6275 0.3725 0.2500
5 Sr 0.9119 0.0881 0.1083
6 Sr 0.9119 0.0881 0.3917
7 In 0.3317 0.6683 0.2500
8 In 0.3786 0.6214 0.5390
9 In 0.3786 0.6214 0.9610
10 In 0.6214 0.3786 0.0390
11 In 0.6214 0.3786 0.4610
12 In 0.6683 0.3317 0.7500
13 Ag 0.2064 0.7936 0.1008
14 Ag 0.2064 0.7936 0.3992
15 Ag 0.7936 0.2064 0.6008
16 Ag 0.7936 0.2064 0.8992

Computed properties:
Magnetization = 0.0 μB per cell
Formation energy = -374 meV/atom